Entry 1:
A relaxed NdDySb crystal. Source: the Alexandria database, functional PBE.

POSCAR file:
```
NdDySb
1.0
5.103 0.000 0.000
-2.552 4.419 0.000
0.000 0.000 4.142
Nd Dy Sb
1 1 1
direct
0.000 0.000 0.000 Nd
0.333 0.667 0.522 Dy
0.667 0.333 0.356 Sb
```

Calculated values
Crystal system: trigonal
Formation energy from raw total energies (meV/atom): -457

=====

Entry 2:
A relaxed NdDy3Sb2 crystal. Source: the Alexandria database, functional PBE.

POSCAR file:
```
NdDy3Sb2
1.0
9.200 -2.183 0.000
9.200 2.183 0.000
-3.950 0.000 8.894
Nd Dy Sb
2 6 4
direct
0.111 0.111 0.121 Nd
0.889 0.889 0.879 Nd
0.057 0.057 0.676 Dy
0.312 0.312 0.110 Dy
0.356 0.356 0.524 Dy
0.644 0.644 0.476 Dy
0.688 0.688 0.890 Dy
0.943 0.943 0.324 Dy
0.246 0.246 0.715 Sb
0.489 0.489 0.155 Sb
0.511 0.511 0.845 Sb
0.754 0.754 0.285 Sb
```

Calculated values
Crystal system: monoclinic
Formation energy from raw total energies (meV/atom): -699

=====

Entry 3:
A relaxed NdDySb2 crystal. Source: the Alexandria database, functional PBE.

POSCAR file:
```
NdDySb2
1.0
2.229 1.287 7.266
-2.229 1.287 7.266
0.000 -2.574 7.266
Nd Dy Sb
1 1 2
direct
0.000 0.000 0.000 Nd
0.500 0.500 0.500 Dy
0.247 0.247 0.247 Sb
0.753 0.753 0.753 Sb
```

Calculated values
Excess energy over the best structure of this formula in the dataset (meV/atom): 0
Crystal system: trigonal
Formation energy from raw total energies (meV/atom): -1157

=====

Entry 4:
A relaxed NdDySb crystal. Source: the Alexandria database, functional PBE.

POSCAR file:
```
NdDySb
1.0
-2.041 2.041 5.160
2.041 -2.041 5.160
2.041 2.041 -5.160
Nd Dy Sb
1 1 1
direct
0.000 0.000 0.000 Nd
0.692 0.692 0.000 Dy
0.337 0.337 0.000 Sb
```

Calculated values
Crystal system: tetragonal
Formation energy from raw total energies (meV/atom): -643

=====

Entry 5:
A relaxed NdDy3Sb3 crystal. Source: the Alexandria database, functional PBE.

POSCAR file:
```
NdDy3Sb3
1.0
9.277 0.000 0.000
0.000 9.277 0.000
0.000 0.000 9.277
Nd Dy Sb
4 12 12
direct
0.070 0.430 0.570 Nd
0.430 0.570 0.070 Nd
0.570 0.070 0.430 Nd
0.930 0.930 0.930 Nd
0.076 0.576 0.924 Dy
0.179 0.821 0.321 Dy
0.180 0.180 0.180 Dy
0.320 0.820 0.680 Dy
0.321 0.179 0.821 Dy
0.424 0.424 0.424 Dy
0.576 0.924 0.076 Dy
0.679 0.679 0.679 Dy
0.680 0.320 0.820 Dy
0.820 0.680 0.320 Dy
0.821 0.321 0.179 Dy
0.924 0.076 0.576 Dy
0.002 0.256 0.879 Sb
0.121 0.502 0.244 Sb
0.244 0.121 0.502 Sb
0.256 0.879 0.002 Sb
0.379 0.498 0.744 Sb
0.498 0.744 0.379 Sb
0.502 0.244 0.121 Sb
0.621 0.998 0.756 Sb
0.744 0.379 0.498 Sb
0.756 0.621 0.998 Sb
0.879 0.002 0.256 Sb
0.998 0.756 0.621 Sb
```

Calculated values
Excess energy over the best structure of this formula in the dataset (meV/atom): 0
Crystal system: cubic
Formation energy from raw total energies (meV/atom): -1004

=====

Entry 6:
A relaxed Nd5Dy2Sb5 crystal. Source: the Alexandria database, functional PBE.

POSCAR file:
```
Nd5Dy2Sb5
1.0
7.322 -2.227 0.000
7.322 2.227 0.000
-4.437 0.000 12.071
Nd Dy Sb
5 2 5
direct
0.000 0.000 0.000 Nd
0.161 0.161 0.539 Nd
0.227 0.227 0.846 Nd
0.773 0.773 0.154 Nd
0.839 0.839 0.461 Nd
0.455 0.455 0.711 Dy
0.545 0.545 0.289 Dy
0.188 0.188 0.289 Sb
0.383 0.383 0.075 Sb
0.500 0.500 0.500 Sb
0.617 0.617 0.925 Sb
0.812 0.812 0.711 Sb
```

Calculated values
Crystal system: monoclinic
Formation energy from raw total energies (meV/atom): -911

=====

What did the fourth record say?
A relaxed NdDySb crystal. Source: the Alexandria database, functional PBE.

POSCAR file:
```
NdDySb
1.0
-2.041 2.041 5.160
2.041 -2.041 5.160
2.041 2.041 -5.160
Nd Dy Sb
1 1 1
direct
0.000 0.000 0.000 Nd
0.692 0.692 0.000 Dy
0.337 0.337 0.000 Sb
```

Calculated values
Crystal system: tetragonal
Formation energy from raw total energies (meV/atom): -643

=====

Question: What is the formation energy from raw total energies in the sixth record?
Answer: -911 meV/atom